[1]
Below is Ac5Pm2Si4 after structural relaxation, with properties calculated at the PBE level.

E_form (uncorrected) in eV per atom: -0.2057
E_tot in eV per atom: -4.909
N(E_F) in states/eV per cell: 26.85

a = 25.9351 Å, b = 4.2111 Å, c = 7.1416 Å
α = 90.00°, β = 98.31°, γ = 90.00°
Space group C2/m (No. 12)
Inequivalent atoms, fractional coordinates:
Ac 0.0000 0.0000 0.0000 x2
Ac 0.1333 0.5000 0.2355 x4
Ac 0.2336 0.5000 0.7594 x4
Pm 0.0939 0.5000 0.7200 x4
Si 0.0203 0.5000 0.3603 x4
Si 0.1605 0.0000 0.9435 x4

=====

[2]
Below is MgHgGe2O6 after structural relaxation, with properties calculated at the PBE level.

E_form (uncorrected) in eV per atom: -1.5594
E_tot in eV per atom: -5.647

a = 10.0348 Å, b = 9.8517 Å, c = 5.3172 Å
α = 90.00°, β = 99.73°, γ = 90.00°
Space group C2/c (No. 15)
Inequivalent atoms, fractional coordinates:
Mg 0.0000 0.2242 0.2500 x4
Hg 0.0000 0.4038 0.7500 x4
Ge 0.1966 0.0893 0.7779 x8
O 0.1096 0.2170 0.5992 x8
O 0.1256 0.3901 0.1692 x8
O 0.1486 0.0667 0.0934 x8

=====

[3]
Below is SrScCr2 after structural relaxation, with properties calculated at the PBE level.

Relative energy among the computed polymorphs in eV per formula unit: 1.464
E_tot in eV per atom: -5.980
N(E_F) in states/eV per cell: 9.80

a = 9.0967 Å, b = 3.2593 Å, c = 6.9275 Å
α = 90.00°, β = 98.48°, γ = 90.00°
Space group C2/m (No. 12)
Inequivalent atoms, fractional coordinates:
Sr 0.0000 0.0000 0.0000 x2
Sc 0.0000 0.5000 0.5000 x2
Cr 0.2445 0.0000 0.6659 x4

=====

[4]
Below is TbMnSi2 after structural relaxation, with properties calculated at the PBE level.

E_form (uncorrected) in eV per atom: -0.6260
E_tot in eV per atom: -6.787
N(E_F) in states/eV per cell: 8.55

a = 7.1482 Å, b = 3.8435 Å, c = 9.8665 Å
α = 90.00°, β = 90.00°, γ = 90.00°
Space group Pnma (No. 62)
Inequivalent atoms, fractional coordinates:
Tb 0.1395 0.2500 0.1310 x4
Mn 0.0113 0.7500 0.3937 x4
Si 0.1627 0.2500 0.8125 x4
Si 0.2097 0.2500 0.4336 x4

=====

[5]
Below is SrSm2S3 after structural relaxation, with properties calculated at the PBE level.

E_form (uncorrected) in eV per atom: -2.0270
E_tot in eV per atom: -5.944
N(E_F) in states/eV per cell: 4.05

a = 4.0578 Å, b = 5.7672 Å, c = 12.3260 Å
α = 90.00°, β = 90.00°, γ = 90.00°
Space group Immm (No. 71)
Inequivalent atoms, fractional coordinates:
Sr 0.0000 0.0000 0.0000 x2
Sm 0.0000 0.0000 0.3355 x4
S 0.0000 0.5000 0.0000 x2
S 0.0000 0.5000 0.3276 x4

=====

[6]
Below is Tb3Pm5Er4 after structural relaxation, with properties calculated at the PBE level.

Relative energy among the computed polymorphs in eV per formula unit: 0.000
E_tot in eV per atom: -4.642
N(E_F) in states/eV per cell: 15.10

a = 6.1969 Å, b = 7.1550 Å, c = 8.7609 Å
α = 90.04°, β = 90.08°, γ = 90.05°
Space group P-1 (No. 2)
Inequivalent atoms, fractional coordinates:
Tb 0.0000 0.0000 0.0000 x1
Tb 0.1661 0.7486 0.6648 x2
Pm 0.0000 0.5000 0.0000 x1
Pm 0.3321 0.9998 0.3351 x2
Pm 0.4994 0.2512 0.0000 x2
Er 0.1663 0.2522 0.6646 x2
Er 0.3344 0.4999 0.3359 x2

=====

[7]
Below is BeZn3Bi after structural relaxation, with properties calculated at the PBE level.

Relative energy among the computed polymorphs in eV per formula unit: 0.000
E_tot in eV per atom: -1.919
N(E_F) in states/eV per cell: 2.45

a = 4.5343 Å, b = 4.5343 Å, c = 4.5343 Å
α = 90.00°, β = 90.00°, γ = 90.00°
Space group Pm-3m (No. 221)
Inequivalent atoms, fractional coordinates:
Be 0.0000 0.0000 0.0000 x1
Zn 0.0000 0.0000 0.5000 x3
Bi 0.5000 0.5000 0.5000 x1

=====

[8]
Below is Dy4Te5I after structural relaxation, with properties calculated at the PBE level.

E_form (uncorrected) in eV per atom: -1.1387
E_tot in eV per atom: -4.705

a = 9.0418 Å, b = 10.8093 Å, c = 7.5971 Å
α = 90.00°, β = 90.00°, γ = 90.00°
Space group Pmmn (No. 59, origin choice 2)
Inequivalent atoms, fractional coordinates:
Dy 0.0416 0.2500 0.0490 x4
Dy 0.2500 0.5007 0.5083 x4
Te 0.0078 0.5530 0.2360 x8
Te 0.2500 0.2500 0.3602 x2
I 0.2500 0.7500 0.7187 x2

=====

[9]
Below is Ac4HoBi5 after structural relaxation, with properties calculated at the PBE level.

E_tot in eV per atom: -4.984
N(E_F) in states/eV per cell: 0.92

a = 10.7250 Å, b = 10.7250 Å, c = 6.8162 Å
α = 90.00°, β = 90.00°, γ = 90.00°
Space group I4/m (No. 87)
Inequivalent atoms, fractional coordinates:
Ac 0.0953 0.3004 0.0000 x8
Ho 0.0000 0.0000 0.5000 x2
Bi 0.0000 0.0000 0.0000 x2
Bi 0.0966 0.2870 0.5000 x8

=====

[10]
Below is TiCdCoPt after structural relaxation, with properties calculated at the PBE level.

E_tot in eV per atom: -5.818
N(E_F) in states/eV per cell: 6.58

a = 6.2795 Å, b = 6.2795 Å, c = 6.2795 Å
α = 90.00°, β = 90.00°, γ = 90.00°
Space group F-43m (No. 216)
Inequivalent atoms, fractional coordinates:
Ti 0.0000 0.0000 0.0000 x4
Cd 0.0000 0.0000 0.5000 x4
Co 0.2500 0.2500 0.7500 x4
Pt 0.2500 0.2500 0.2500 x4

=====

[11]
Below is InS2O after structural relaxation, with properties calculated at the PBE level.

E_form (uncorrected) in eV per atom: 0.2266
Relative energy among the computed polymorphs in eV per formula unit: 0.996
E_tot in eV per atom: -3.761
N(E_F) in states/eV per cell: 6.01

a = 4.9963 Å, b = 4.9963 Å, c = 12.8124 Å
α = 90.00°, β = 90.00°, γ = 90.00°
Space group I-42d (No. 122)
Inequivalent atoms, fractional coordinates:
In 0.0000 0.0000 0.0000 x4
S 0.1668 0.2500 0.6250 x8
O 0.0000 0.0000 0.5000 x4

=====

[12]
Below is Tb3Dy3Ni2 after structural relaxation, with properties calculated at the PBE level.

E_tot in eV per atom: -5.058
N(E_F) in states/eV per cell: 40.62

a = 3.6462 Å, b = 13.0819 Å, c = 18.3197 Å
α = 90.00°, β = 90.00°, γ = 90.00°
Space group Cmcm (No. 63)
Inequivalent atoms, fractional coordinates:
Tb 0.0000 0.0492 0.2500 x4
Tb 0.0000 0.1765 0.5626 x8
Dy 0.0000 0.2289 0.7500 x4
Dy 0.0000 0.4384 0.5856 x8
Ni 0.0000 0.1992 0.1390 x8